No. 1
{
  "formula": "BaTl2Te",
  "functional": "GGA-PBEsol",
  "state": "optimized geometry",
  "cell": [[4.9272, 0.0000, 0.0000], [0.0000, 4.9272, 0.0000], [0.0000, 0.0000, 5.2908]],
  "species": ["Tl", "Tl", "Te", "Ba"],
  "fractional_positions": [[0.0000, 0.5000, 0.0000], [0.5000, 0.0000, 0.0000], [0.0000, 0.0000, 0.5000], [0.5000, 0.5000, 0.5000]],
  "e_form_raw_ev_per_atom": -0.646,
  "e_tot_ev_per_cell": -13.5,
  "dos_ef_per_ev_atom": 0.605
}

***

No. 2
{
  "formula": "Zr5P",
  "functional": "GGA-PBEsol",
  "state": "optimized geometry",
  "cell": [[-0.8670, -3.1560, 2.4339], [3.9263, 0.3999, 1.9171], [-2.1548, 5.7121, 3.2217]],
  "species": ["P", "Zr", "Zr", "Zr", "Zr", "Zr"],
  "fractional_positions": [[0.5000, 0.0000, 0.0000], [0.3440, 0.5000, 0.6880], [0.0000, 0.5000, 0.0000], [0.6560, 0.5000, 0.3120], [0.8548, 0.0000, 0.7097], [0.1452, 0.0000, 0.2903]],
  "formation_energy_ev_per_atom": -0.308,
  "relative_energy_kcal_per_mol_atoms": 1.92,
  "e_tot_ev_per_cell": -53.1,
  "dos_ef_per_ev_atom": 1.465
}

***

No. 3
{
  "formula": "Mg3MoPt",
  "functional": "GGA-PBEsol",
  "state": "optimized geometry",
  "cell": [[4.8839, 0.0000, 0.0000], [0.0000, 4.8839, 0.0000], [0.0000, 0.0000, 4.8839]],
  "species": ["Pt", "Mo", "Mg", "Mg", "Mg"],
  "fractional_positions": [[0.0000, 0.0000, 0.0000], [0.5000, 0.5000, 0.5000], [0.0000, 0.5000, 0.0000], [0.0000, 0.0000, 0.5000], [0.5000, 0.0000, 0.0000]],
  "formation_energy_ev_per_atom": 0.646,
  "relative_energy_kcal_per_mol_atoms": 0.00,
  "e_tot_ev_per_cell": -20.7,
  "dos_ef_per_ev_atom": 0.541
}

***

No. 4
{
  "formula": "BiPS2O",
  "functional": "GGA-PBEsol",
  "state": "optimized geometry",
  "cell": [[4.1037, 0.0000, 0.0000], [0.0000, 4.4590, 0.0000], [0.0000, 0.0000, 4.4590]],
  "species": ["S", "S", "O", "P", "Bi"],
  "fractional_positions": [[0.0000, 0.5000, 0.0000], [0.0000, 0.0000, 0.5000], [0.0000, 0.0000, 0.0000], [0.5000, 0.0000, 0.0000], [0.5000, 0.5000, 0.5000]],
  "e_form_raw_ev_per_atom": 0.336,
  "e_tot_ev_per_cell": -22.4,
  "dos_ef_per_ev_atom": 0.429
}

***

No. 5
{
  "formula": "TiCr2HgGe",
  "functional": "GGA-PBEsol",
  "state": "optimized geometry",
  "cell": [[4.3972, 0.0000, 0.0000], [0.0000, 4.3972, 0.0000], [0.0000, 0.0000, 5.1276]],
  "species": ["Hg", "Cr", "Cr", "Ti", "Ge"],
  "fractional_positions": [[0.0000, 0.0000, 0.5000], [0.0000, 0.5000, 0.0000], [0.5000, 0.0000, 0.0000], [0.0000, 0.0000, 0.0000], [0.5000, 0.5000, 0.5000]],
  "formation_energy_ev_per_atom": 1.314,
  "e_tot_ev_per_cell": -27.7,
  "dos_ef_per_ev_atom": 0.660
}

***

No. 6
{
  "formula": "Ta3Fe",
  "functional": "GGA-PBEsol",
  "state": "optimized geometry",
  "cell": [[-0.8853, 1.1104, 2.8542], [-4.0635, -1.6745, -0.6089], [1.2871, -3.8071, 1.8803]],
  "species": ["Ta", "Ta", "Ta", "Fe"],
  "fractional_positions": [[0.5000, 0.5000, 0.0000], [0.5000, 0.0000, 0.5000], [0.0000, 0.5000, 0.5000], [0.0000, 0.0000, 0.0000]],
  "formation_energy_ev_per_atom": -0.012,
  "e_tot_ev_per_cell": -46.7,
  "dos_ef_per_ev_atom": 0.571
}